# KSr GGA-PBE optimized geometry
data_KSr
_chemical_formula_sum 'K6 Sr6'
_cell_length_a 16.965
_cell_length_b 4.362
_cell_length_c 10.488
_cell_angle_alpha 90.00
_cell_angle_beta 104.34
_cell_angle_gamma 90.00
_symmetry_space_group_name_H-M 'C 1 m 1'
_symmetry_Int_Tables_number 8
loop_
_symmetry_equiv_pos_as_xyz
'x,y,z'
'x,-y,z'
'x+1/2,y+1/2,z'
'x+1/2,-y+1/2,z'
loop_
_atom_site_label
_atom_site_type_symbol
_atom_site_fract_x
_atom_site_fract_y
_atom_site_fract_z
K1 K 0.000 0.000 0.000
K2 K 0.056 0.000 0.620
K3 K 0.163 0.500 0.332
Sr1 Sr 0.236 0.500 0.951
Sr2 Sr 0.329 0.000 0.668
Sr3 Sr 0.381 0.000 0.281
# Energy of formation: 109 meV per atom